Here is crystalline AcLuMgSc at its relaxed geometry from the Alexandria database. Energies are from GGA-PBE.

Summary:
Space-group type ... No. 216
Energy of formation ... 77 meV/atom
E ... -16.249 eV/cell

Unit cell a=5.5524 b=5.5524 c=5.5524 alpha=60.00 beta=60.00 gamma=60.00
With the nearest neighbours (Å) after each atom.
Positions (direct):
Ac: 0.5000 0.5000 0.5000  4 Sc 3.40, 4 Mg 3.40
Mg: 0.7500 0.7500 0.7500  4 Ac 3.40, 4 Lu 3.40
Lu: 0.0000 0.0000 0.0000  4 Mg 3.40, 4 Sc 3.40
Sc: 0.2500 0.2500 0.2500  4 Ac 3.40, 4 Lu 3.40

=====

Here is crystalline LaGa2Ru2 at its relaxed geometry from the Alexandria database. Energies are from GGA-PBE.

Summary:
Space-group type ... No. 139
Energy of formation ... -402 meV/atom
E ... -31.545 eV/cell

Unit cell a=4.3311 b=4.3311 c=6.0022 alpha=68.85 beta=68.85 gamma=90.00
With the nearest neighbours (Å) after each atom.
Positions (direct):
Ga: 0.2500 0.7500 0.5000  4 Ru 2.57
Ga: 0.7500 0.2500 0.5000  4 Ru 2.57
Ru: 0.3841 0.3841 0.2319  1 Ru 2.39, 4 Ga 2.57
Ru: 0.6159 0.6159 0.7681  1 Ru 2.39, 4 Ga 2.57
La: 0.0000 0.0000 0.0000  8 Ru 3.29, 8 Ga 3.37

=====

Here is crystalline SmMgTlAg at its relaxed geometry from the Alexandria database. Energies are from GGA-PBE.

Summary:
Space-group type ... No. 216
Energy of formation ... -307 meV/atom
E ... -12.757 eV/cell

Unit cell a=5.1328 b=5.1328 c=5.1328 alpha=60.00 beta=60.00 gamma=60.00
With the nearest neighbours (Å) after each atom.
Positions (direct):
Tl: 0.7500 0.7500 0.7500  4 Mg 3.14, 4 Sm 3.14
Ag: 0.2500 0.2500 0.2500  4 Mg 3.14, 4 Sm 3.14
Sm: 0.0000 0.0000 0.0000  4 Ag 3.14, 4 Tl 3.14
Mg: 0.5000 0.5000 0.5000  4 Tl 3.14, 4 Ag 3.14

=====

Here is crystalline BeInTe2 at its relaxed geometry from the Alexandria database. Energies are from GGA-PBE.

Summary:
Space-group type ... No. 166
E above lowest polymorph ... 242.7 meV/atom
Formation energy (no corrections) ... 0.066 eV/atom
E ... -12.485 eV/cell

Unit cell a=10.0515 b=10.0515 c=10.0515 alpha=20.21 beta=20.21 gamma=20.21
With the nearest neighbours (Å) after each atom.
Positions (direct):
Te: 0.8873 0.8873 0.8873  3 Be 2.59
Te: 0.1127 0.1127 0.1127  3 Be 2.59
Be: 0.5000 0.5000 0.5000  6 Te 2.59
In: 0.0000 0.0000 0.0000  2 Te 3.33, 6 In 3.53

=====

Here is crystalline K3YBi2O6 at its relaxed geometry from the Alexandria database. Energies are from GGA-PBE.

Summary:
Space-group type ... No. 12
Formation energy (no corrections) ... -1.803 eV/atom
E ... -68.900 eV/cell

Unit cell a=6.1992 b=6.1992 c=6.6202 alpha=98.98 beta=98.98 gamma=120.00
With the nearest neighbours (Å) after each atom.
Positions (direct):
O: 0.3852 0.0656 0.1965  1 Y 2.34, 2 Bi 2.44-2.45
O: 0.7457 0.7457 0.1962  1 Y 2.33, 2 Bi 2.44
O: 0.6148 0.9344 0.8035  1 Y 2.34, 2 Bi 2.44-2.45
O: 0.0656 0.3852 0.1965  1 Y 2.34, 2 Bi 2.44-2.45
O: 0.9344 0.6148 0.8035  1 Y 2.34, 2 Bi 2.44-2.45
O: 0.2543 0.2543 0.8038  1 Y 2.33, 2 Bi 2.44
Y: 0.0000 0.0000 0.0000  6 O 2.33-2.34
K: 0.8317 0.1683 0.5000  6 O 2.78-2.86
K: 0.1683 0.8317 0.5000  6 O 2.78-2.86
K: 0.5000 0.5000 0.5000  6 O 2.78-2.88
Bi: 0.3335 0.6665 0.0000  6 O 2.44-2.45
Bi: 0.6665 0.3335 0.0000  6 O 2.44-2.45

=====

Here is crystalline Hf2Zn2Sb at its relaxed geometry from the Alexandria database. Energies are from GGA-PBE.

Summary:
Space-group type ... No. 127
E above lowest polymorph ... 117.7 meV/atom
Formation energy (no corrections) ... -0.036 eV/atom
E ... -53.518 eV/cell

Unit cell a=7.3257 b=7.3257 c=3.9649 alpha=90.00 beta=90.00 gamma=90.00
With the nearest neighbours (Å) after each atom.
Positions (direct):
Hf: 0.3467 0.8467 0.0000  2 Sb 2.78, 6 Zn 2.92
Hf: 0.8467 0.6533 0.0000  2 Sb 2.78, 6 Zn 2.92
Hf: 0.6533 0.1533 0.0000  2 Sb 2.78, 6 Zn 2.92
Hf: 0.1533 0.3467 0.0000  2 Sb 2.78, 6 Zn 2.92
Zn: 0.8606 0.3606 0.5000  1 Zn 2.89, 6 Hf 2.92
Zn: 0.3606 0.1394 0.5000  1 Zn 2.89, 6 Hf 2.92
Zn: 0.1394 0.6394 0.5000  1 Zn 2.89, 6 Hf 2.92
Zn: 0.6394 0.8606 0.5000  1 Zn 2.89, 6 Hf 2.92
Sb: 0.0000 0.0000 0.0000  4 Hf 2.78
Sb: 0.5000 0.5000 0.0000  4 Hf 2.78

=====

- Which value of E does entry 2 give?
  -31.545 eV/cell